Record 1
# Ta4ReW

A geometry-optimized Ta4ReW structure (PBE, Alexandria via LeMat-Bulk).

Calculated values
**Energy relative to the lowest polymorph listed for this composition**: 4.02 eV/f.u.
**Symmetry**: No. 216

extended XYZ file:
```
6
Lattice="0.000 3.769 3.769 3.769 0.000 3.769 3.769 3.769 0.000" Properties=species:S:1:pos:R:3 pbc="T T T"
Ta 4.712 2.827 4.712
Ta 2.827 2.827 2.827
Ta 2.827 4.712 4.712
Ta 4.712 4.712 2.827
Re 0.000 0.000 0.000
W 5.654 5.654 5.654
```


Record 2
# TaReW14

A geometry-optimized TaReW14 structure (PBE, Alexandria via LeMat-Bulk).

Calculated values
**Symmetry**: No. 65

extended XYZ file:
```
16
Lattice="-1.523 5.261 -0.654 -4.325 -2.936 1.760 2.303 1.730 8.548" Properties=species:S:1:pos:R:3 pbc="T T T"
W -1.297 4.667 1.787
W -1.812 -0.443 0.578
W -0.147 5.531 6.056
W -4.736 0.719 1.131
W -2.311 4.070 6.951
W -3.469 3.200 2.653
W -1.547 1.437 7.262
W -3.975 -1.912 1.458
W -2.574 2.187 0.251
W -2.697 0.572 2.993
W -0.533 2.033 2.098
W -0.661 0.421 4.852
W 0.625 2.903 6.396
W -3.585 1.584 5.405
Re -2.823 -1.047 5.732
Ta -1.422 3.052 4.525
```


Record 3
# TaRe2W

A geometry-optimized TaRe2W structure (PBE, Alexandria via LeMat-Bulk).

Calculated values
**Energy relative to the lowest polymorph listed for this composition**: 0.24 eV/f.u.
**Symmetry**: No. 44

extended XYZ file:
```
4
Lattice="-2.012 0.797 4.820 -0.969 -4.257 2.976 3.709 2.703 -2.618" Properties=species:S:1:pos:R:3 pbc="T T T"
Re -0.009 -0.011 0.024
Re 0.110 0.892 3.034
W 0.625 -1.642 2.127
Ta -1.487 -1.727 3.891
```


Record 4
# TaRe2W

A geometry-optimized TaRe2W structure (PBE, Alexandria via LeMat-Bulk).

Calculated values
**Energy relative to the lowest polymorph listed for this composition**: 0.02 eV/f.u.
**Symmetry**: No. 225

extended XYZ file:
```
4
Lattice="-3.539 -2.735 -0.363 -2.958 -0.300 3.362 -4.120 1.713 -0.477" Properties=species:S:1:pos:R:3 pbc="T T T"
Re -7.964 -0.991 1.891
Re -2.655 -0.330 0.630
W -5.309 -0.661 1.261
Ta 0.000 0.000 0.000
```


Record 5
# TaReW3

A geometry-optimized TaReW3 structure (PBE, Alexandria via LeMat-Bulk).

Calculated values
**Energy relative to the lowest polymorph listed for this composition**: 11.40 eV/f.u.
**Symmetry**: No. 221

extended XYZ file:
```
5
Lattice="-3.280 2.800 -1.820 -3.169 -3.414 0.459 -1.053 1.554 4.288" Properties=species:S:1:pos:R:3 pbc="T T T"
W -1.640 1.400 -0.910
W -0.527 0.777 2.144
W -1.585 -1.707 0.230
Ta 0.000 0.000 0.000
Re -3.751 0.470 1.464
```


Record 6
# TaRe2W6

A geometry-optimized TaRe2W6 structure (PBE, Alexandria via LeMat-Bulk).

Calculated values
**Symmetry**: No. 2

extended XYZ file:
```
9
Lattice="-2.596 1.514 -3.339 1.141 -5.840 -3.541 -2.592 -1.805 4.235" Properties=species:S:1:pos:R:3 pbc="T T T"
Re -3.937 -2.005 -0.858
Re -0.109 -4.127 -1.787
W -2.694 -3.700 -2.601
W -1.352 -2.432 -0.045
W -2.696 -4.810 -0.078
W -1.351 -1.321 -2.568
W -2.605 0.399 -0.810
W -1.441 -6.530 -1.836
Ta -2.592 -1.805 4.235
```


Record 7
# Ta2ReW6

A geometry-optimized Ta2ReW6 structure (PBE, Alexandria via LeMat-Bulk).

Calculated values
**Symmetry**: No. 12

extended XYZ file:
```
9
Lattice="4.465 -0.166 -0.976 0.061 5.378 -0.651 -0.833 2.081 6.533" Properties=species:S:1:pos:R:3 pbc="T T T"
W 2.824 5.274 1.284
W 0.856 4.742 3.088
W 1.430 5.987 5.499
W 2.263 1.306 -0.594
W 0.870 2.019 3.621
W 2.838 2.550 1.818
Ta 3.371 4.116 3.983
Ta 0.323 3.177 0.922
Re 0.061 5.378 -0.651
```


Record 8
# TaRe2W

A geometry-optimized TaRe2W structure (PBE, Alexandria via LeMat-Bulk).

Calculated values
**Energy relative to the lowest polymorph listed for this composition**: 1.43 eV/f.u.
**Symmetry**: No. 160

extended XYZ file:
```
4
Lattice="-7.455 -1.876 5.904 -8.572 -2.845 3.518 -6.924 -4.504 5.072" Properties=species:S:1:pos:R:3 pbc="T T T"
Ta -11.516 -4.628 7.273
W -17.123 -6.882 10.814
Re -5.853 -2.352 3.697
Re -22.885 -9.198 14.453
```


Record 9
# TaRe2W

A geometry-optimized TaRe2W structure (PBE, Alexandria via LeMat-Bulk).

Calculated values
**Energy relative to the lowest polymorph listed for this composition**: 0.00 eV/f.u.
**Symmetry**: No. 123

extended XYZ file:
```
4
Lattice="4.493 0.000 0.000 0.000 4.493 0.000 0.000 0.000 3.167" Properties=species:S:1:pos:R:3 pbc="T T T"
W 0.000 2.246 1.584
Ta 2.246 0.000 1.584
Re 2.246 2.246 0.000
Re 0.000 0.000 0.000
```


Record 10
# TaReW4

A geometry-optimized TaReW4 structure (PBE, Alexandria via LeMat-Bulk).

Calculated values
**Energy relative to the lowest polymorph listed for this composition**: 0.35 eV/f.u.
**Symmetry**: No. 15

extended XYZ file:
```
12
Lattice="-3.081 -3.577 -1.059 2.516 -2.814 3.535 -3.797 1.255 7.486" Properties=species:S:1:pos:R:3 pbc="T T T"
Re -3.445 -0.603 7.547
Re -0.917 -4.534 2.416
Ta -2.234 -1.985 9.367
Ta -2.129 -3.151 0.595
W -5.080 -2.287 5.301
W -2.791 -1.134 4.725
W -3.490 -3.233 7.148
W 0.717 -2.849 4.661
W -3.490 -3.366 3.245
W -0.872 -1.903 2.815
W -0.872 -1.771 6.718
W -1.572 -4.002 5.237
```


Record 11
# Ta4ReW

A geometry-optimized Ta4ReW structure (PBE, Alexandria via LeMat-Bulk).

Calculated values
**Energy relative to the lowest polymorph listed for this composition**: 0.00 eV/f.u.
**Symmetry**: No. 123

extended XYZ file:
```
6
Lattice="3.232 -0.001 0.000 0.001 3.232 0.000 -0.001 -0.001 9.880" Properties=species:S:1:pos:R:3 pbc="T T T"
Ta 0.000 0.000 3.342
Ta 3.232 3.230 6.538
Ta 1.615 1.615 8.306
Ta 1.616 1.616 1.575
Re 0.000 0.000 0.000
W 1.616 1.615 4.940
```


Record 12
# Ta3Re4W

A geometry-optimized Ta3Re4W structure (PBE, Alexandria via LeMat-Bulk).

Calculated values
**Symmetry**: No. 123

extended XYZ file:
```
8
Lattice="3.185 0.000 0.000 0.000 3.185 0.000 0.000 0.000 12.777" Properties=species:S:1:pos:R:3 pbc="T T T"
W 1.592 1.592 0.000
Ta 1.592 1.592 9.590
Ta 1.592 1.592 3.188
Ta 1.592 1.592 6.389
Re 0.000 0.000 1.566
Re 0.000 0.000 4.778
Re 0.000 0.000 7.999
Re 0.000 0.000 11.211
```


Record 13
# TaReW3

A geometry-optimized TaReW3 structure (PBE, Alexandria via LeMat-Bulk).

Calculated values
**Energy relative to the lowest polymorph listed for this composition**: 0.00 eV/f.u.
**Symmetry**: No. 52

extended XYZ file:
```
20
Lattice="-3.841 -1.222 -2.708 1.506 -4.993 0.116 -7.169 -1.907 11.030" Properties=species:S:1:pos:R:3 pbc="T T T"
W -4.246 -6.577 6.443
W -4.669 -3.985 6.616
W -3.332 -3.746 -0.484
W -4.834 -4.137 1.823
W -5.258 -1.545 1.996
W -9.246 -3.958 8.371
W -2.255 -6.130 -0.195
W -3.741 -2.394 4.210
W -7.249 -1.992 8.634
W -0.258 -4.164 0.067
W -5.763 -5.728 4.229
W -6.171 -4.375 8.922
Re -8.606 -2.458 5.996
Re -7.155 -4.732 6.546
Re -2.348 -3.390 1.892
Re -2.403 -0.671 2.327
Ta -8.522 -6.462 8.474
Ta -6.486 -3.224 4.126
Ta -3.017 -4.898 4.313
Ta -0.982 -1.659 -0.036
```


Record 14
# TaRe2W

A geometry-optimized TaRe2W structure (PBE, Alexandria via LeMat-Bulk).

Calculated values
**Energy relative to the lowest polymorph listed for this composition**: 0.42 eV/f.u.
**Symmetry**: No. 71

extended XYZ file:
```
4
Lattice="5.253 0.001 0.000 2.349 4.698 0.000 -3.299 -3.161 2.591" Properties=species:S:1:pos:R:3 pbc="T T T"
W 1.425 1.943 1.296
Re 0.010 0.006 0.000
Re 3.790 2.343 0.000
Ta 2.877 -0.405 1.296
```


Record 15
# TaRe2W

A geometry-optimized TaRe2W structure (PBE, Alexandria via LeMat-Bulk).

Calculated values
**Energy relative to the lowest polymorph listed for this composition**: 0.45 eV/f.u.
**Symmetry**: No. 10

extended XYZ file:
```
4
Lattice="-2.959 3.165 -1.017 -0.974 -1.572 -2.057 -3.731 -2.651 2.605" Properties=species:S:1:pos:R:3 pbc="T T T"
W -5.008 -1.585 -0.098
Re -4.690 -4.211 0.543
Re -2.367 -2.123 0.279
Ta -2.656 0.527 -0.371
```


Record 16
# Ta6ReW2

A geometry-optimized Ta6ReW2 structure (PBE, Alexandria via LeMat-Bulk).

Calculated values
**Symmetry**: No. 12

extended XYZ file:
```
9
Lattice="-2.204 0.095 2.072 -2.006 -6.403 0.369 4.260 -3.031 6.880" Properties=species:S:1:pos:R:3 pbc="T T T"
Ta -0.031 -6.451 4.683
Ta 2.073 -6.886 6.941
Ta -2.024 -2.454 2.381
Ta 0.080 -2.888 4.639
Ta -0.136 -4.765 2.284
Ta 0.185 -4.574 7.038
W 0.254 -0.912 2.523
W -0.205 -8.428 6.799
Re 0.000 0.000 0.000
```


Record 17
# TaRe3W

A geometry-optimized TaRe3W structure (PBE, Alexandria via LeMat-Bulk).

Calculated values
**Energy relative to the lowest polymorph listed for this composition**: 0.00 eV/f.u.
**Symmetry**: No. 221

extended XYZ file:
```
5
Lattice="-3.672 1.232 2.599 -2.842 -2.201 -2.972 0.442 -3.923 2.483" Properties=species:S:1:pos:R:3 pbc="T T T"
Re 0.221 -1.961 1.242
Re -1.836 0.616 1.299
Re -1.421 -1.101 -1.486
Ta -3.036 -2.446 1.055
W 0.000 0.000 0.000
```


Record 18
# TaRe2W

A geometry-optimized TaRe2W structure (PBE, Alexandria via LeMat-Bulk).

Calculated values
**Energy relative to the lowest polymorph listed for this composition**: 0.52 eV/f.u.
**Symmetry**: No. 216

extended XYZ file:
```
4
Lattice="-1.193 -1.505 4.056 -3.716 -2.473 0.473 0.321 -4.374 0.954" Properties=species:S:1:pos:R:3 pbc="T T T"
Re 0.000 0.000 0.000
Re -1.147 -2.088 1.371
Ta -2.294 -4.176 2.742
W -3.440 -6.264 4.112
```


Record 19
# TaRe2W

A geometry-optimized TaRe2W structure (PBE, Alexandria via LeMat-Bulk).

Calculated values
**Energy relative to the lowest polymorph listed for this composition**: 1.54 eV/f.u.
**Symmetry**: No. 166

extended XYZ file:
```
4
Lattice="9.399 -0.003 -0.002 8.972 2.802 -0.002 8.972 1.367 2.446" Properties=species:S:1:pos:R:3 pbc="T T T"
W 20.507 3.125 1.832
Re 13.588 2.070 1.214
Re 0.083 0.013 0.007
Ta 6.836 1.042 0.611
```


Record 20
# YTa2Re

A geometry-optimized YTa2Re structure (PBE, Alexandria via LeMat-Bulk).

Calculated values
**Energy relative to the lowest polymorph listed for this composition**: 1.09 eV/f.u.
**Symmetry**: No. 123

extended XYZ file:
```
4
Lattice="-3.672 1.915 -2.474 -2.957 -0.881 3.708 0.682 2.902 1.233" Properties=species:S:1:pos:R:3 pbc="T T T"
Re -1.137 1.011 2.471
Ta -3.315 0.517 0.617
Ta 0.000 0.000 0.000
Y -1.495 2.409 -0.620
```


Record-wise energy relative to the elements values, in kJ/mol of formula units: 263, -35, -42, -62, 1278, -22, 415, 74, -65, 227, -124, -226, 178, -24, -21, 351, 1015, -15, 84, 141